! YCrNi2 | Alexandria via LeMat-Bulk | meta-GGA SCAN | single point on PBEsol structure; values from VASP
&SYSTEM
  ibrav = 0, nat = 8, ntyp = 3
/
ATOMIC_SPECIES
Y 88.91 Y.upf
Cr 52.00 Cr.upf
Ni 58.69 Ni.upf
ATOMIC_POSITIONS crystal
Y 0.0000 0.0000 0.0000
Y 0.5000 0.5000 0.5000
Cr 0.0000 0.5000 0.2497
Cr 0.5000 0.0000 0.7497
Ni 0.0000 0.0000 0.5001
Ni 0.0000 0.5000 0.7502
Ni 0.5000 0.0000 0.2502
Ni 0.5000 0.5000 0.0001
CELL_PARAMETERS angstrom
3.7771 0.0000 0.0000
0.0000 3.7876 0.0000
0.0000 0.0000 8.4063
! * formation energy from the elements: 30 meV per atom
! * E: -19.614 eV per atom